DFT (PBE-GGA) results for a geometry-optimized HfTi3C2 structure.

```
data_HfTi3C2
_cell_length_a 5.056
_cell_length_b 6.243
_cell_length_c 6.243
_cell_angle_alpha 120.00
_cell_angle_beta 90.00
_cell_angle_gamma 90.00
_space_group_name_H-M_alt 'P 1'
_space_group_IT_number 1
loop_
_space_group_symop_operation_xyz
'x,y,z'
loop_
_atom_site_label
_atom_site_fract_x
_atom_site_fract_y
_atom_site_fract_z
_atom_site_occupancy
C1 0.000 0.000 0.000 1
Ti1 0.226 0.333 0.167 1
Ti2 0.774 0.167 0.333 1
Hf1 0.740 0.667 0.333 1
Ti3 0.226 0.833 0.667 1
C2 0.000 0.500 0.000 1
Hf2 0.260 0.333 0.667 1
C3 0.000 0.500 0.500 1
Ti4 0.226 0.833 0.167 1
Ti5 0.774 0.167 0.833 1
C4 0.000 0.000 0.500 1
Ti6 0.774 0.667 0.833 1
```

Summary:
SG: P-3m1
Energy of formation: -0.59 eV per atom
Density of states at the Fermi level: 0.6861 states/eV per atom


DFT (PBE-GGA) results for a geometry-optimized CaTbCu2Ge2 structure.

```
data_CaTbCu2Ge2
_cell_length_a 4.227
_cell_length_b 4.227
_cell_length_c 7.814
_cell_angle_alpha 90.00
_cell_angle_beta 90.00
_cell_angle_gamma 120.00
_space_group_name_H-M_alt 'P 1'
_space_group_IT_number 1
loop_
_space_group_symop_operation_xyz
'x,y,z'
loop_
_atom_site_label
_atom_site_fract_x
_atom_site_fract_y
_atom_site_fract_z
_atom_site_occupancy
Cu1 0.333 0.667 0.741 1
Cu2 0.667 0.333 0.259 1
Ca1 0.000 0.000 0.000 1
Ge1 0.333 0.667 0.263 1
Tb1 0.000 0.000 0.500 1
Ge2 0.667 0.333 0.737 1
```

Summary:
SG: P-3m1
Energy of formation: -0.58 eV per atom
Density of states at the Fermi level: 0.7992 states/eV per atom


DFT (PBE-GGA) results for a geometry-optimized YMnMo2 structure.

```
data_YMnMo2
_cell_length_a 2.895
_cell_length_b 2.895
_cell_length_c 9.053
_cell_angle_alpha 90.00
_cell_angle_beta 90.00
_cell_angle_gamma 110.52
_space_group_name_H-M_alt 'P 1'
_space_group_IT_number 1
loop_
_space_group_symop_operation_xyz
'x,y,z'
loop_
_atom_site_label
_atom_site_fract_x
_atom_site_fract_y
_atom_site_fract_z
_atom_site_occupancy
Mo1 0.500 0.500 0.220 1
Mn1 0.500 0.500 0.781 1
Y1 0.000 0.000 0.505 1
Mo2 0.000 0.000 0.994 1
```

Summary:
SG: Cmm2
Energy of formation: 0.42 eV per atom
Density of states at the Fermi level: 1.2769 states/eV per atom
ΔE to the lowest computed polymorph: 0.171 eV per atom


DFT (PBE-GGA) results for a geometry-optimized Ge2H2Cl3 structure.

```
data_Ge2H2Cl3
_cell_length_a 3.734
_cell_length_b 5.208
_cell_length_c 14.220
_cell_angle_alpha 55.77
_cell_angle_beta 130.43
_cell_angle_gamma 135.69
_space_group_name_H-M_alt 'P 1'
_space_group_IT_number 1
loop_
_space_group_symop_operation_xyz
'x,y,z'
loop_
_atom_site_label
_atom_site_fract_x
_atom_site_fract_y
_atom_site_fract_z
_atom_site_occupancy
Cl1 0.500 0.000 0.000 1
Ge1 0.368 0.891 0.195 1
H1 0.852 0.396 0.186 1
H2 0.148 0.604 0.814 1
Ge2 0.632 0.109 0.805 1
Cl2 0.832 0.195 0.650 1
Cl3 0.168 0.805 0.350 1
```

Summary:
SG: P-1
Raw total energy: -23.89 eV per formula unit
Density of states at the Fermi level: 0.0974 states/eV per atom


DFT (PBE-GGA) results for a geometry-optimized NpBRh structure.

```
data_NpBRh
_cell_length_a 4.687
_cell_length_b 4.428
_cell_length_c 5.132
_cell_angle_alpha 76.02
_cell_angle_beta 62.83
_cell_angle_gamma 58.05
_space_group_name_H-M_alt 'P 1'
_space_group_IT_number 1
loop_
_space_group_symop_operation_xyz
'x,y,z'
loop_
_atom_site_label
_atom_site_fract_x
_atom_site_fract_y
_atom_site_fract_z
_atom_site_occupancy
Rh1 0.671 0.000 0.657 1
Np1 0.163 0.674 0.000 1
Np2 0.837 0.326 0.000 1
B1 0.250 0.500 0.500 1
B2 0.750 0.500 0.500 1
Rh2 0.329 0.000 0.343 1
```

Summary:
SG: Fmmm
Energy of formation: -0.23 eV per atom
Density of states at the Fermi level: 1.4570 states/eV per atom


DFT (PBE-GGA) results for a geometry-optimized Zr4TlP structure.

```
data_Zr4TlP
_cell_length_a 5.754
_cell_length_b 5.754
_cell_length_c 5.754
_cell_angle_alpha 60.00
_cell_angle_beta 60.00
_cell_angle_gamma 60.00
_space_group_name_H-M_alt 'P 1'
_space_group_IT_number 1
loop_
_space_group_symop_operation_xyz
'x,y,z'
loop_
_atom_site_label
_atom_site_fract_x
_atom_site_fract_y
_atom_site_fract_z
_atom_site_occupancy
Zr1 0.374 0.374 0.877 1
Zr2 0.374 0.374 0.374 1
Zr3 0.374 0.877 0.374 1
P1 0.750 0.750 0.750 1
Tl1 0.000 0.000 0.000 1
Zr4 0.877 0.374 0.374 1
```

Summary:
SG: F-43m
Energy of formation: 0.35 eV per atom
Density of states at the Fermi level: 1.2675 states/eV per atom


DFT (PBE-GGA) results for a geometry-optimized Zn2CoBr structure.

```
data_Zn2CoBr
_cell_length_a 5.854
_cell_length_b 5.854
_cell_length_c 5.854
_cell_angle_alpha 143.55
_cell_angle_beta 143.55
_cell_angle_gamma 52.50
_space_group_name_H-M_alt 'P 1'
_space_group_IT_number 1
loop_
_space_group_symop_operation_xyz
'x,y,z'
loop_
_atom_site_label
_atom_site_fract_x
_atom_site_fract_y
_atom_site_fract_z
_atom_site_occupancy
Co1 0.750 0.250 0.500 1
Zn1 0.000 0.000 0.000 1
Zn2 0.500 0.500 0.000 1
Br1 0.250 0.750 0.500 1
```

Summary:
ΔE_f (raw): 0.436 eV per atom
SG: I4/mmm
Density of states at the Fermi level: 0.5445 states/eV per atom
ΔE to the lowest computed polymorph: 0.340 eV per atom


DFT (PBE-GGA) results for a geometry-optimized Ac2SmErAs4 structure.

```
data_Ac2SmErAs4
_cell_length_a 4.353
_cell_length_b 7.541
_cell_length_c 7.533
_cell_angle_alpha 70.56
_cell_angle_beta 90.00
_cell_angle_gamma 90.00
_space_group_name_H-M_alt 'P 1'
_space_group_IT_number 1
loop_
_space_group_symop_operation_xyz
'x,y,z'
loop_
_atom_site_label
_atom_site_fract_x
_atom_site_fract_y
_atom_site_fract_z
_atom_site_occupancy
As1 0.000 0.270 0.247 1
As2 0.500 0.728 0.261 1
Ac1 0.000 0.000 0.000 1
Ac2 0.500 0.000 0.500 1
Sm1 0.500 0.500 0.000 1
As3 0.500 0.272 0.739 1
Er1 0.000 0.500 0.500 1
As4 0.000 0.730 0.753 1
```

Summary:
SG: P2/m
Energy of formation: -1.47 eV per atom
Density of states at the Fermi level: 0.0888 states/eV per atom


DFT (PBE-GGA) results for a geometry-optimized Ti3Sn2 structure.

```
data_Ti3Sn2
_cell_length_a 4.702
_cell_length_b 4.702
_cell_length_c 5.624
_cell_angle_alpha 65.29
_cell_angle_beta 65.29
_cell_angle_gamma 60.00
_space_group_name_H-M_alt 'P 1'
_space_group_IT_number 1
loop_
_space_group_symop_operation_xyz
'x,y,z'
loop_
_atom_site_label
_atom_site_fract_x
_atom_site_fract_y
_atom_site_fract_z
_atom_site_occupancy
Sn1 0.598 0.598 0.205 1
Ti1 0.192 0.192 0.423 1
Sn2 0.402 0.402 0.795 1
Ti2 0.808 0.808 0.577 1
Ti3 0.000 0.000 0.000 1
```

Summary:
SG: R-3m
Energy of formation: -0.23 eV per atom
Density of states at the Fermi level: 1.0455 states/eV per atom


DFT (PBE-GGA) results for a geometry-optimized HfGa3Ir structure.

```
data_HfGa3Ir
_cell_length_a 4.263
_cell_length_b 6.315
_cell_length_c 6.588
_cell_angle_alpha 90.00
_cell_angle_beta 90.00
_cell_angle_gamma 90.00
_space_group_name_H-M_alt 'P 1'
_space_group_IT_number 1
loop_
_space_group_symop_operation_xyz
'x,y,z'
loop_
_atom_site_label
_atom_site_fract_x
_atom_site_fract_y
_atom_site_fract_z
_atom_site_occupancy
Ga1 0.750 0.037 0.716 1
Hf1 0.250 0.750 0.677 1
Ga2 0.250 0.250 0.984 1
Ga3 0.250 0.963 0.284 1
Ir1 0.250 0.250 0.599 1
Ir2 0.750 0.750 0.401 1
Ga4 0.750 0.750 0.016 1
Ga5 0.750 0.463 0.716 1
Hf2 0.750 0.250 0.323 1
Ga6 0.250 0.537 0.284 1
```

Summary:
SG: Pmmn
Energy of formation: -0.35 eV per atom
Density of states at the Fermi level: 0.7541 states/eV per atom
ΔE to the lowest computed polymorph: 0.000 eV per atom


DFT (PBE-GGA) results for a geometry-optimized Na4Nd2Br9 structure.

```
data_Na4Nd2Br9
_cell_length_a 7.575
_cell_length_b 7.578
_cell_length_c 20.071
_cell_angle_alpha 90.08
_cell_angle_beta 90.04
_cell_angle_gamma 60.06
_space_group_name_H-M_alt 'P 1'
_space_group_IT_number 1
loop_
_space_group_symop_operation_xyz
'x,y,z'
loop_
_atom_site_label
_atom_site_fract_x
_atom_site_fract_y
_atom_site_fract_z
_atom_site_occupancy
Br1 0.323 0.023 0.586 1
Br2 0.026 0.320 0.086 1
Na1 0.668 0.665 0.825 1
Na2 0.335 0.333 0.674 1
Br3 0.348 0.974 0.914 1
Br4 0.654 0.321 0.586 1
Br5 0.652 0.026 0.086 1
Br6 0.974 0.348 0.415 1
Br7 0.316 0.000 0.250 1
Nd1 0.000 0.001 0.841 1
Na3 0.334 0.334 0.484 1
Nd2 0.999 0.002 0.341 1
Br8 0.678 0.348 0.914 1
Na4 0.666 0.666 0.516 1
Br9 0.346 0.679 0.414 1
Na5 0.332 0.335 0.175 1
Nd3 0.000 0.999 0.159 1
Br10 0.998 0.685 0.250 1
Br11 0.677 0.977 0.414 1
Na6 0.333 0.334 0.983 1
Br12 0.974 0.680 0.914 1
Nd4 0.001 0.998 0.659 1
Br13 0.026 0.652 0.585 1
Br14 0.684 0.317 0.250 1
Na7 0.665 0.667 0.326 1
Na8 0.667 0.666 0.017 1
Br15 0.322 0.652 0.086 1
Br16 0.002 0.315 0.750 1
Br17 0.684 0.000 0.750 1
Br18 0.316 0.683 0.750 1
```

Summary:
ΔE_f (raw): -1.671 eV per atom
SG: P-1


DFT (PBE-GGA) results for a geometry-optimized DyScPb2 structure.

```
data_DyScPb2
_cell_length_a 4.641
_cell_length_b 4.641
_cell_length_c 7.029
_cell_angle_alpha 70.72
_cell_angle_beta 70.72
_cell_angle_gamma 60.00
_space_group_name_H-M_alt 'P 1'
_space_group_IT_number 1
loop_
_space_group_symop_operation_xyz
'x,y,z'
loop_
_atom_site_label
_atom_site_fract_x
_atom_site_fract_y
_atom_site_fract_z
_atom_site_occupancy
Pb1 0.247 0.247 0.259 1
Dy1 0.671 0.671 0.986 1
Sc1 0.494 0.494 0.519 1
Pb2 0.088 0.088 0.736 1
```

Summary:
SG: R3m
Energy of formation: -0.28 eV per atom
Density of states at the Fermi level: 0.5527 states/eV per atom